[1]
VASP calculation (GGA-PBE) on a relaxed structure of NaP2Pd7.

Total energy ... -5.219 eV per atom
ρ ... 8704 kg/m³

abc: 10.331 10.331 10.331
angles: 157.73 157.73 31.71
Element x y z (fractional)
1 Na 0.000 0.000 0.000
2 P 0.329 0.329 0.000
3 P 0.671 0.671 0.000
4 Pd 0.108 0.608 0.500
5 Pd 0.250 0.750 0.500
6 Pd 0.392 0.892 0.500
7 Pd 0.500 0.500 0.000
8 Pd 0.608 0.108 0.500
9 Pd 0.750 0.250 0.500
10 Pd 0.892 0.392 0.500

***

[2]
VASP calculation (GGA-PBE) on a relaxed structure of NaPPd2.

Total energy ... -4.751 eV per atom
ρ ... 6297 kg/m³

abc: 7.976 7.976 7.976
angles: 42.66 42.66 42.66
Element x y z (fractional)
1 Na 0.000 0.000 0.000
2 Na 0.141 0.141 0.141
3 Na 0.859 0.859 0.859
4 P 0.329 0.329 0.329
5 P 0.500 0.500 0.500
6 P 0.671 0.671 0.671
7 Pd 0.084 0.573 0.573
8 Pd 0.427 0.427 0.916
9 Pd 0.427 0.916 0.427
10 Pd 0.573 0.084 0.573
11 Pd 0.573 0.573 0.084
12 Pd 0.916 0.427 0.427

***

[3]
VASP calculation (GGA-PBE) on a relaxed structure of NaPPd.

Total energy ... -4.345 eV per atom
ρ ... 4745 kg/m³

abc: 5.636 5.636 5.636
angles: 145.87 145.87 49.05
Element x y z (fractional)
1 Na 0.000 0.000 0.000
2 P 0.709 0.709 0.000
3 Pd 0.282 0.282 0.000

***

[4]
VASP calculation (GGA-PBE) on a relaxed structure of Na3PPd.

Total energy ... -2.639 eV per atom
ρ ... 2280 kg/m³

abc: 5.317 5.317 5.317
angles: 90.00 90.00 90.00
Element x y z (fractional)
1 Na 0.000 0.000 0.500
2 Na 0.000 0.500 0.000
3 Na 0.500 0.000 0.000
4 P 0.000 0.000 0.000
5 Pd 0.500 0.500 0.500

***

[5]
VASP calculation (GGA-PBE) on a relaxed structure of Na2P3Pd6.

Total energy ... -5.015 eV per atom
ρ ... 6891 kg/m³

abc: 7.162 7.162 4.217
angles: 90.00 90.00 120.00
Element x y z (fractional)
1 Na 0.333 0.667 0.000
2 Na 0.667 0.333 0.000
3 P 0.000 0.630 0.500
4 P 0.370 0.370 0.500
5 P 0.630 0.000 0.500
6 Pd 0.000 0.301 0.500
7 Pd 0.000 0.777 0.000
8 Pd 0.223 0.223 0.000
9 Pd 0.301 0.000 0.500
10 Pd 0.699 0.699 0.500
11 Pd 0.777 0.000 0.000

***

[6]
VASP calculation (GGA-PBE) on a relaxed structure of Na2P3Pd5.

Total energy ... -4.959 eV per atom
ρ ... 6422 kg/m³

abc: 7.345 7.345 6.476
angles: 94.66 94.66 90.46
Element x y z (fractional)
1 Na 0.129 0.650 0.576
2 Na 0.350 0.871 0.924
3 Na 0.650 0.129 0.076
4 Na 0.871 0.350 0.424
5 P 0.028 0.972 0.250
6 P 0.256 0.457 0.947
7 P 0.457 0.256 0.447
8 P 0.543 0.744 0.553
9 P 0.744 0.543 0.053
10 P 0.972 0.028 0.750
11 Pd 0.064 0.669 0.103
12 Pd 0.216 0.231 0.183
13 Pd 0.231 0.216 0.683
14 Pd 0.331 0.936 0.397
15 Pd 0.468 0.532 0.250
16 Pd 0.532 0.468 0.750
17 Pd 0.669 0.064 0.603
18 Pd 0.769 0.784 0.317
19 Pd 0.784 0.769 0.817
20 Pd 0.936 0.331 0.897